1.
A plane-wave DFT calculation with PBE was carried out for CaPrAgBi after structural relaxation.

Cell lengths 7.731, 7.731, 7.731 Å; angles 90.00, 90.00, 90.00 degrees
Space group F-43m (No. 216)
One atom of each set of equivalent atoms:
1 Ca 0.000 0.000 0.000
2 Pr 0.000 0.000 0.500
3 Ag 0.250 0.250 0.750
4 Bi 0.250 0.250 0.250

Output
The volume is 462.0 Å³ per cell. The total energy comes out at -3.889 eV/atom. As for the density: 7.16 Mg/m³. Its crystal system is cubic. The density of states at the Fermi level is 13.3 states/eV per cell.


2.
A plane-wave DFT calculation with PBE was carried out for TaCr2Mo after structural relaxation.

Cell lengths 6.803, 6.803, 5.316 Å; angles 90.00, 90.00, 90.00 degrees
Space group I-42d (No. 122)
One atom of each set of equivalent atoms:
1 Ta 0.000 0.000 0.000
2 Cr 0.235 0.250 0.625
3 Mo 0.000 0.000 0.500

Output
The volume is 246.1 Å³ per cell. The total energy comes out at -9.730 eV/atom. As for the density: 10.28 Mg/m³. Its crystal system is tetragonal. The calculation puts the energy relative to the lowest polymorph listed for this composition at 0.773 eV/atom. The density of states at the Fermi level is 17.3 states/eV per cell.


3.
A plane-wave DFT calculation with PBE was carried out for DyP2Ru after structural relaxation.

Cell lengths 4.0514, 4.0514, 14.2119 Å; angles 90.00, 90.00, 120.00 degrees
Space group R-3m (No. 166, hexagonal axes)
One atom of each set of equivalent atoms:
1 Dy 0.0000 0.0000 0.0000
2 P 0.0000 0.0000 0.2166
3 Ru 0.0000 0.0000 0.5000

Output
The volume is 202.0 Å³ per cell. The total energy comes out at -7.094 eV/atom. As for the density: 8.03 Mg/m³. Its crystal system is trigonal. The density of states at the Fermi level is 7.8 states/eV per cell.


4.
A plane-wave DFT calculation with PBE was carried out for CaTe2Ir after structural relaxation.

Cell lengths 3.716, 4.066, 13.183 Å; angles 90.00, 90.00, 90.00 degrees
Space group Imm2 (No. 44)
One atom of each set of equivalent atoms:
1 Ca 0.000 0.000 0.000
2 Te 0.000 0.000 0.387
3 Te 0.000 0.500 0.176
4 Ir 0.000 0.500 0.736

Output
The volume is 199.2 Å³ per cell. The total energy comes out at -4.643 eV/atom. As for the density: 8.13 Mg/m³. Its crystal system is orthorhombic. The calculation puts the energy relative to the lowest polymorph listed for this composition at 0.228 eV/atom. The density of states at the Fermi level is 7.3 states/eV per cell. The energy relative to the elements, uncorrected comes out at -0.356 eV/atom.


5.
A plane-wave DFT calculation with PBE was carried out for Li3Pa3RhS8 after structural relaxation.

Cell lengths 7.4821, 7.4821, 19.1262 Å; angles 90.00, 90.00, 120.00 degrees
Space group R-3m (No. 166, hexagonal axes)
One atom of each set of equivalent atoms:
1 Li 0.0000 0.5000 0.0000
2 Pa 0.0000 0.5000 0.5000
3 Rh 0.0000 0.0000 0.5000
4 S 0.0000 0.0000 0.2564
5 S 0.0237 0.5118 0.2473

Output
The volume is 927.1 Å³ per cell. The total energy comes out at -6.276 eV/atom. As for the density: 5.77 Mg/m³. Its crystal system is trigonal. The density of states at the Fermi level is 55.5 states/eV per cell. The energy relative to the elements, uncorrected comes out at -1.303 eV/atom.


6.
A plane-wave DFT calculation with PBE was carried out for TbAlZn2Cu4 after structural relaxation.

Cell lengths 4.1974, 4.1974, 24.5302 Å; angles 90.00, 90.00, 120.00 degrees
Space group R-3m (No. 166, hexagonal axes)
One atom of each set of equivalent atoms:
1 Tb 0.0000 0.0000 0.0000
2 Al 0.0000 0.0000 0.5000
3 Zn 0.0000 0.0000 0.2428
4 Cu 0.0000 0.0000 0.1303
5 Cu 0.0000 0.0000 0.4012

Output
The volume is 374.3 Å³ per cell. The total energy comes out at -3.593 eV/atom. As for the density: 7.60 Mg/m³. Its crystal system is trigonal. The density of states at the Fermi level is 10.1 states/eV per cell.


7.
A plane-wave DFT calculation with PBE was carried out for Pu2Sn5 after structural relaxation.

Cell lengths 10.955, 10.955, 3.152 Å; angles 90.00, 90.00, 90.00 degrees
Space group P4/mbm (No. 127)
One atom of each set of equivalent atoms:
1 Pu 0.183 0.317 0.000
2 Sn 0.000 0.500 0.500
3 Sn 0.059 0.789 0.500

Output
The volume is 378.2 Å³ per cell. The total energy comes out at -7.222 eV/atom. As for the density: 9.50 Mg/m³. Its crystal system is tetragonal. The density of states at the Fermi level is 32.1 states/eV per cell.


8.
A plane-wave DFT calculation with PBE was carried out for TaInBr2 after structural relaxation.

Cell lengths 11.057, 3.268, 7.444 Å; angles 90.00, 113.30, 90.00 degrees
Space group Cm (No. 8)
One atom of each set of equivalent atoms:
1 Ta 0.000 0.000 0.000
2 In 0.228 0.500 0.000
3 Br 0.040 0.500 0.297
4 Br 0.383 0.000 0.703

Output
The volume is 247.1 Å³ per cell. The total energy comes out at -4.636 eV/atom. As for the density: 6.12 Mg/m³. Its crystal system is monoclinic. The calculation puts the energy relative to the lowest polymorph listed for this composition at 0.098 eV/atom. The density of states at the Fermi level is 5.2 states/eV per cell. The energy relative to the elements, uncorrected comes out at -0.152 eV/atom.


9.
A plane-wave DFT calculation with PBE was carried out for Tb2Ho12Sc5 after structural relaxation.

Cell lengths 16.573, 6.892, 10.798 Å; angles 90.00, 107.75, 90.00 degrees
Space group C2/m (No. 12)
One atom of each set of equivalent atoms:
1 Tb 0.000 0.242 0.000
2 Ho 0.104 0.000 0.304
3 Ho 0.107 0.500 0.817
4 Ho 0.188 0.259 0.593
5 Ho 0.203 0.248 0.106
6 Sc 0.000 0.500 0.500
7 Sc 0.115 0.000 0.822
8 Sc 0.120 0.500 0.300

Output
The volume is 1174.6 Å³ per cell. The total energy comes out at -4.866 eV/atom. As for the density: 7.13 Mg/m³. Its crystal system is monoclinic. The density of states at the Fermi level is 69.1 states/eV per cell.


10.
A plane-wave DFT calculation with PBE was carried out for NaTl2In6 after structural relaxation.

Cell lengths 10.794, 6.230, 7.940 Å; angles 90.00, 90.05, 90.00 degrees
Space group C2/m (No. 12)
One atom of each set of equivalent atoms:
1 Na 0.000 0.000 0.000
2 Tl 0.167 0.500 0.093
3 In 0.085 0.253 0.667
4 In 0.170 0.000 0.331

Output
The volume is 534.0 Å³ per cell. The total energy comes out at -2.480 eV/atom. As for the density: 6.97 Mg/m³. Its crystal system is monoclinic. The calculation puts the energy relative to the lowest polymorph listed for this composition at 0.023 eV/atom. The density of states at the Fermi level is 7.4 states/eV per cell.


11.
A plane-wave DFT calculation with PBE was carried out for Ag6AsCl12 after structural relaxation.

Cell lengths 10.9038, 10.9038, 16.4841 Å; angles 90.00, 90.00, 120.00 degrees
Space group R-3 (No. 148, hexagonal axes)
One atom of each set of equivalent atoms:
1 Ag 0.0398 0.2647 0.1670
2 As 0.0000 0.0000 0.5000
3 Cl 0.0266 0.1994 0.8791
4 Cl 0.0861 0.2170 0.4120

Output
The volume is 1697.3 Å³ per cell. The total energy comes out at -2.746 eV/atom. As for the density: 3.37 Mg/m³. Its crystal system is trigonal. The density of states at the Fermi level is 23.6 states/eV per cell. The energy relative to the elements, uncorrected comes out at -0.434 eV/atom.


12.
A plane-wave DFT calculation with PBE was carried out for NaInI4 after structural relaxation.

Cell lengths 7.353, 7.353, 11.677 Å; angles 90.00, 90.00, 90.00 degrees
Space group I-4 (No. 82)
One atom of each set of equivalent atoms:
1 Na 0.000 0.000 0.000
2 In 0.000 0.500 0.250
3 I 0.201 0.739 0.382

Output
The volume is 631.3 Å³ per cell. The total energy comes out at -2.464 eV/atom. As for the density: 3.40 Mg/m³. Its crystal system is tetragonal. The calculation puts the energy relative to the lowest polymorph listed for this composition at 0.014 eV/atom. The density of states at the Fermi level is 0.0 states/eV per cell. The energy relative to the elements, uncorrected comes out at -0.754 eV/atom.